## Fe2Ni6W (PBE)

Data for an optimized crystal structure of Fe2Ni6W.

The structure belongs to space group C2/m (No. 12); the cell edges are 10.782, 3.567 and 5.677 Å and the angles 90.00°, 108.15° and 90.00°. The asymmetric unit holds Fe at (0.058, 0.000, 0.341), Ni at (0.111, 0.500, 0.665), Ni at (0.168, 0.000, 0.003), Ni at (0.224, 0.500, 0.335) and W at (0.000, 0.500, 0.000).

For the formation enthalpy at 0 K, the calculation gives -0.015 eV/atom. The density of states at the Fermi level comes out at 18.1 states/eV per cell.

=====

## Fe2NiW (PBE)

Data for an optimized crystal structure of Fe2NiW.

The structure belongs to space group R-3m (No. 166, hexagonal axes); the cell edges are 2.6304, 2.6304 and 25.9370 Å and the angles 90.00°, 90.00° and 120.00°. The asymmetric unit holds Fe at (0.0000, 0.0000, 0.2442), Ni at (0.0000, 0.0000, 0.5000) and W at (0.0000, 0.0000, 0.0000).

For the formation enthalpy at 0 K, the calculation gives 0.238 eV/atom. The calculation puts the relative energy among the computed polymorphs at 228.6 meV per atom. The density of states at the Fermi level comes out at 10.5 states/eV per cell.

=====

## Fe2NiW (PBE)

Data for an optimized crystal structure of Fe2NiW.

The structure belongs to space group P4/mmm (No. 123); the cell edges are 2.598, 2.598 and 7.557 Å and the angles 90.00°, 90.00° and 90.00°. The asymmetric unit holds Fe at (0.000, 0.000, 0.226), Ni at (0.500, 0.500, 0.000) and W at (0.500, 0.500, 0.500).

For the formation enthalpy at 0 K, the calculation gives 0.126 eV/atom. The calculation puts the relative energy among the computed polymorphs at 117.1 meV per atom. The density of states at the Fermi level comes out at 3.6 states/eV per cell.

=====

## FeNi6W2 (PBE)

Data for an optimized crystal structure of FeNi6W2.

The structure belongs to space group C2/m (No. 12); the cell edges are 11.037, 3.573 and 5.746 Å and the angles 90.00°, 109.00° and 90.00°. The asymmetric unit holds Fe at (0.000, 0.000, 0.000), Ni at (0.109, 0.000, 0.668), Ni at (0.168, 0.500, 0.999), Ni at (0.223, 0.000, 0.334) and W at (0.059, 0.500, 0.317).

For the formation enthalpy at 0 K, the calculation gives -0.024 eV/atom. The density of states at the Fermi level comes out at 16.5 states/eV per cell.

=====

## Fe2NiW (PBE)

Data for an optimized crystal structure of Fe2NiW.

The structure belongs to space group I-4m2 (No. 119); the cell edges are 3.667, 3.667 and 7.220 Å and the angles 90.00°, 90.00° and 90.00°. The asymmetric unit holds Fe at (0.000, 0.000, 0.000), Fe at (0.000, 0.500, 0.250), Ni at (0.000, 0.500, 0.750) and W at (0.000, 0.000, 0.500).

For the formation enthalpy at 0 K, the calculation gives 0.014 eV/atom. The calculation puts the relative energy among the computed polymorphs at 5.2 meV per atom. The density of states at the Fermi level comes out at 6.1 states/eV per cell.

=====

## Fe3NiW (PBE)

Data for an optimized crystal structure of Fe3NiW.

The structure belongs to space group Pm-3m (No. 221); the cell edges are 4.430, 4.430 and 4.430 Å and the angles 90.00°, 90.00° and 90.00°. The asymmetric unit holds Fe at (0.000, 0.000, 0.500), Ni at (0.500, 0.500, 0.500) and W at (0.000, 0.000, 0.000).

For the formation enthalpy at 0 K, the calculation gives 1.742 eV/atom. The calculation puts the relative energy among the computed polymorphs at 458.0 meV per atom. The density of states at the Fermi level comes out at 6.9 states/eV per cell.

=====

## Fe2NiW (PBE)

Data for an optimized crystal structure of Fe2NiW.

The structure belongs to space group C2/m (No. 12); the cell edges are 8.616, 2.624 and 4.496 Å and the angles 90.00°, 100.16° and 90.00°. The asymmetric unit holds Fe at (0.242, 0.000, 0.238), Ni at (0.000, 0.500, 0.000) and W at (0.000, 0.000, 0.500).

For the formation enthalpy at 0 K, the calculation gives 0.115 eV/atom. The calculation puts the relative energy among the computed polymorphs at 106.1 meV per atom. The density of states at the Fermi level comes out at 8.7 states/eV per cell.

=====

## Fe2NiW (PBE)

Data for an optimized crystal structure of Fe2NiW.

The structure belongs to space group I-42d (No. 122); the cell edges are 6.521, 6.521 and 5.001 Å and the angles 90.00°, 90.00° and 90.00°. The asymmetric unit holds Fe at (0.242, 0.250, 0.125), Ni at (0.000, 0.000, 0.000) and W at (0.000, 0.000, 0.500).

For the formation enthalpy at 0 K, the calculation gives 0.649 eV/atom. The calculation puts the relative energy among the computed polymorphs at 640.1 meV per atom. The density of states at the Fermi level comes out at 21.2 states/eV per cell.

=====

## FeNi6W (PBE)

Data for an optimized crystal structure of FeNi6W.

The structure belongs to space group C2/m (No. 12); the cell edges are 4.715, 8.163 and 4.926 Å and the angles 90.00°, 90.13° and 90.00°. The asymmetric unit holds Fe at (0.000, 0.000, 0.000), Ni at (0.002, 0.500, 0.752), Ni at (0.246, 0.250, 0.248) and W at (0.000, 0.000, 0.500).

For the formation enthalpy at 0 K, the calculation gives 0.119 eV/atom. The calculation puts the relative energy among the computed polymorphs at 145.7 meV per atom. The density of states at the Fermi level comes out at 17.4 states/eV per cell.

=====

## FeNi6W (PBE)

Data for an optimized crystal structure of FeNi6W.

The structure belongs to space group Cmmm (No. 65); the cell edges are 7.193, 10.169 and 10.168 Å and the angles 90.00°, 90.00° and 90.00°. The asymmetric unit holds Fe at (0.000, 0.000, 0.244), Fe at (0.000, 0.251, 0.000), Ni at (0.000, 0.000, 0.000), Ni at (0.000, 0.000, 0.500), Ni at (0.000, 0.250, 0.250), Ni at (0.000, 0.500, 0.000), Ni at (0.000, 0.500, 0.500), Ni at (0.249, 0.125, 0.124), Ni at (0.249, 0.125, 0.375), W at (0.000, 0.253, 0.500) and W at (0.000, 0.500, 0.244).

For the formation enthalpy at 0 K, the calculation gives -0.027 eV/atom. The calculation puts the relative energy among the computed polymorphs at 0.0 meV per atom. The density of states at the Fermi level comes out at 65.4 states/eV per cell.

=====

## Fe2NiW (PBE)

Data for an optimized crystal structure of Fe2NiW.

The structure belongs to space group Cmm2 (No. 35); the cell edges are 3.228, 4.052 and 7.819 Å and the angles 90.00°, 90.00° and 90.00°. The asymmetric unit holds Fe at (0.000, 0.000, 0.000), Fe at (0.000, 0.500, 0.241), Ni at (0.000, 0.500, 0.764) and W at (0.000, 0.000, 0.508).

For the formation enthalpy at 0 K, the calculation gives 0.101 eV/atom. The calculation puts the relative energy among the computed polymorphs at 91.6 meV per atom. The density of states at the Fermi level comes out at 6.1 states/eV per cell.

=====

## FeNiW4 (PBE)

Data for an optimized crystal structure of FeNiW4.

The structure belongs to space group F-43m (No. 216); the cell edges are 7.328, 7.328 and 7.328 Å and the angles 90.00°, 90.00° and 90.00°. The asymmetric unit holds Fe at (0.000, 0.000, 0.000), Ni at (0.250, 0.250, 0.250) and W at (0.125, 0.125, 0.625).

For the formation enthalpy at 0 K, the calculation gives 0.745 eV/atom. The density of states at the Fermi level comes out at 30.1 states/eV per cell.

=====

Number 1: total moment 5.7 μB/f.u.. Number 2: total moment 5.1 μB/f.u.. Number 3: total moment 5.5 μB/f.u.. Number 4: total moment 0.1 μB/f.u.. Number 5: total moment 2.8 μB/f.u.. Number 6: total moment 5.1 μB/f.u.. Number 7: total moment 4.2 μB/f.u.. Number 8: total moment 3.2 μB/f.u.. Number 9: total moment 3.9 μB/f.u.. Number 10: total moment 4.4 μB/f.u.. Number 11: total moment 5.1 μB/f.u.. Number 12: total moment 1.8 μB/f.u..